First-principles (PBE-GGA) data for an optimized crystal structure of TbSmGeS, as listed in Alexandria.

a b c (Å): 4.097 4.097 7.134
angles (deg): 73.31 73.31 60.00
Atoms (fractional coordinates):
Tb (0.194, 0.194, 0.419)
Sm (0.694, 0.694, 0.917)
Ge (0.943, 0.943, 0.172)
S (0.446, 0.446, 0.662)

The total moment comes out at 0.00 μB/f.u. For the density of states at the Fermi level, the calculation gives 1.483 states/eV per cell. Its space group is R3m. For the volume, the calculation gives 24.5 A^3/atom. The raw total energy comes out at -23.921 eV per formula unit.

---

First-principles (PBE-GGA) data for an optimized crystal structure of Sm3GeTeS, as listed in Alexandria.

a b c (Å): 4.426 8.671 9.674
angles (deg): 100.05 90.00 90.00
Atoms (fractional coordinates):
Sm (0.250, 0.766, 0.472)
Sm (0.750, 0.883, 0.135)
Sm (0.750, 0.426, 0.149)
Sm (0.750, 0.234, 0.528)
Sm (0.250, 0.574, 0.851)
Sm (0.250, 0.117, 0.865)
Ge (0.250, 0.658, 0.155)
Ge (0.750, 0.342, 0.845)
Te (0.750, 0.827, 0.793)
Te (0.250, 0.173, 0.207)
S (0.250, 0.091, 0.589)
S (0.750, 0.909, 0.411)

The total moment comes out at 0.00 μB/f.u. For the density of states at the Fermi level, the calculation gives 3.807 states/eV per cell. Its space group is P2_1/m. For the volume, the calculation gives 30.5 A^3/atom. The raw total energy comes out at -33.191 eV per formula unit.

---

First-principles (PBE-GGA) data for an optimized crystal structure of Sm6Ge3TeS2, as listed in Alexandria.

a b c (Å): 4.215 8.477 9.433
angles (deg): 103.23 102.91 90.00
Atoms (fractional coordinates):
Sm (0.326, 0.914, 0.652)
Sm (0.667, 0.584, 0.334)
Sm (0.674, 0.086, 0.348)
Sm (0.002, 0.268, 0.005)
Sm (0.998, 0.732, 0.995)
Sm (0.333, 0.416, 0.666)
Ge (0.500, 0.500, 0.000)
Ge (0.836, 0.170, 0.672)
Ge (0.164, 0.830, 0.328)
Te (0.500, 0.000, 0.000)
S (0.831, 0.664, 0.663)
S (0.169, 0.336, 0.337)

The total moment comes out at 0.00 μB/f.u. For the density of states at the Fermi level, the calculation gives 3.260 states/eV per cell. Its space group is C2/m. For the volume, the calculation gives 26.6 A^3/atom. The raw total energy comes out at -69.768 eV per formula unit.

---

First-principles (PBE-GGA) data for an optimized crystal structure of Sm6Ge2TeS3, as listed in Alexandria.

a b c (Å): 4.174 8.382 9.298
angles (deg): 102.03 102.97 90.00
Atoms (fractional coordinates):
Sm (0.326, 0.906, 0.651)
Sm (0.667, 0.584, 0.334)
Sm (0.674, 0.094, 0.349)
Sm (0.003, 0.275, 0.005)
Sm (0.997, 0.725, 0.995)
Sm (0.333, 0.416, 0.666)
Ge (0.833, 0.666, 0.666)
Ge (0.167, 0.334, 0.334)
Te (0.500, 0.000, 0.000)
S (0.500, 0.500, 0.000)
S (0.836, 0.165, 0.672)
S (0.164, 0.835, 0.328)

The total moment comes out at 0.00 μB/f.u. For the density of states at the Fermi level, the calculation gives 3.991 states/eV per cell. Its space group is C2/m. For the volume, the calculation gives 25.8 A^3/atom. The raw total energy comes out at -71.758 eV per formula unit.

---

First-principles (PBE-GGA) data for an optimized crystal structure of Sm6Ge2Te3S, as listed in Alexandria.

a b c (Å): 4.280 8.729 9.731
angles (deg): 104.85 102.70 90.00
Atoms (fractional coordinates):
Sm (0.340, 0.901, 0.680)
Sm (0.672, 0.567, 0.345)
Sm (0.660, 0.099, 0.320)
Sm (0.008, 0.232, 0.015)
Sm (0.992, 0.768, 0.985)
Sm (0.328, 0.433, 0.655)
Ge (0.834, 0.670, 0.669)
Ge (0.166, 0.330, 0.331)
Te (0.500, 0.500, 0.000)
Te (0.834, 0.167, 0.668)
Te (0.166, 0.833, 0.332)
S (0.500, 0.000, 0.000)

The total moment comes out at 0.00 μB/f.u. For the density of states at the Fermi level, the calculation gives 4.477 states/eV per cell. Its space group is C2/m. For the volume, the calculation gives 28.5 A^3/atom. The raw total energy comes out at -67.905 eV per formula unit.

---

First-principles (PBE-GGA) data for an optimized crystal structure of Sm6TlGe2S3, as listed in Alexandria.

a b c (Å): 4.152 8.440 9.446
angles (deg): 106.58 102.70 90.00
Atoms (fractional coordinates):
Sm (0.325, 0.919, 0.651)
Sm (0.668, 0.577, 0.336)
Sm (0.675, 0.081, 0.349)
Sm (0.995, 0.272, 0.990)
Sm (0.005, 0.728, 0.010)
Sm (0.332, 0.423, 0.664)
Tl (0.500, 0.000, 0.000)
Ge (0.837, 0.678, 0.675)
Ge (0.163, 0.322, 0.325)
S (0.500, 0.500, 0.000)
S (0.832, 0.173, 0.665)
S (0.168, 0.827, 0.335)

The total moment comes out at 0.00 μB/f.u. For the density of states at the Fermi level, the calculation gives 4.956 states/eV per cell. Its space group is C2/m. For the volume, the calculation gives 25.7 A^3/atom. The raw total energy comes out at -68.288 eV per formula unit.

---

Values for energy relative to the elements, uncorrected, eV per formula unit, ordered as above
-5.8, -7.1, -16.2, -18.7, -16.8, -16.0